[1]
{
  "formula": "AcLaTb2Ho",
  "functional": "GGA-PBE",
  "state": "optimized geometry",
  "density_g_cm3": 7.5,
  "sg": "Cmcm (63)",
  "formation_enthalpy_0k_ev_per_atom": 0.385,
  "cell": [[3.288, -8.844, 0.000], [3.288, 8.844, 0.000], [0.000, 0.000, 6.493]],
  "species": ["Ac", "Ac", "La", "La", "Tb", "Tb", "Tb", "Tb", "Ho", "Ho"],
  "frac_coords": [[0.157, 0.843, 0.750], [0.843, 0.157, 0.250], [0.345, 0.655, 0.750], [0.655, 0.345, 0.250], [0.255, 0.255, 0.000], [0.255, 0.255, 0.500], [0.745, 0.745, 0.000], [0.745, 0.745, 0.500], [0.272, 0.728, 0.250], [0.728, 0.272, 0.750]]
}

[2]
{
  "formula": "AcLa4TbHo2",
  "functional": "GGA-PBE",
  "state": "optimized geometry",
  "density_g_cm3": 7.4,
  "sg": "C2/m (12)",
  "formation_enthalpy_0k_ev_per_atom": 0.035,
  "cell": [[11.619, 0.000, 0.000], [0.000, 5.253, 0.000], [-4.786, 0.000, 9.383]],
  "species": ["Ac", "Ac", "La", "La", "La", "La", "La", "La", "La", "La", "Tb", "Tb", "Ho", "Ho", "Ho", "Ho"],
  "frac_coords": [[0.000, 0.000, 0.000], [0.500, 0.500, 0.000], [0.246, 0.000, 0.869], [0.248, 0.500, 0.622], [0.252, 0.000, 0.378], [0.254, 0.500, 0.131], [0.746, 0.500, 0.869], [0.748, 0.000, 0.622], [0.752, 0.500, 0.378], [0.754, 0.000, 0.131], [0.000, 0.000, 0.500], [0.500, 0.500, 0.500], [0.000, 0.500, 0.256], [0.000, 0.500, 0.744], [0.500, 0.000, 0.256], [0.500, 0.000, 0.744]]
}

[3]
{
  "formula": "AcLaTb2Ho4",
  "functional": "GGA-PBE",
  "state": "optimized geometry",
  "density_g_cm3": 8.3,
  "sg": "P2/m (10)",
  "formation_enthalpy_0k_ev_per_atom": 0.042,
  "cell": [[7.293, 0.000, 0.000], [0.000, 10.084, 0.000], [-0.008, 0.000, 7.313]],
  "species": ["Ac", "Ac", "La", "La", "Tb", "Tb", "Tb", "Tb", "Ho", "Ho", "Ho", "Ho", "Ho", "Ho", "Ho", "Ho"],
  "frac_coords": [[0.000, 0.000, 0.000], [0.000, 0.500, 0.500], [0.000, 0.000, 0.500], [0.500, 0.000, 0.500], [0.000, 0.500, 0.000], [0.500, 0.000, 0.000], [0.500, 0.500, 0.000], [0.500, 0.500, 0.500], [0.257, 0.253, 0.247], [0.257, 0.254, 0.753], [0.257, 0.746, 0.753], [0.257, 0.747, 0.247], [0.743, 0.253, 0.753], [0.743, 0.254, 0.247], [0.743, 0.746, 0.247], [0.743, 0.747, 0.753]]
}

[4]
{
  "formula": "AcLa2TbHo",
  "functional": "GGA-PBE",
  "state": "optimized geometry",
  "density_g_cm3": 7.3,
  "sg": "Cmcm (63)",
  "formation_enthalpy_0k_ev_per_atom": 0.370,
  "cell": [[3.307, -8.740, 0.000], [3.307, 8.740, 0.000], [0.000, 0.000, 6.561]],
  "species": ["Ac", "Ac", "La", "La", "La", "La", "Tb", "Tb", "Ho", "Ho"],
  "frac_coords": [[0.159, 0.841, 0.750], [0.841, 0.159, 0.250], [0.256, 0.256, 0.000], [0.256, 0.256, 0.500], [0.744, 0.744, 0.000], [0.744, 0.744, 0.500], [0.346, 0.654, 0.750], [0.654, 0.346, 0.250], [0.259, 0.741, 0.250], [0.741, 0.259, 0.750]]
}

[5]
{
  "formula": "AcLa3TbHo",
  "functional": "GGA-PBE",
  "state": "optimized geometry",
  "density_g_cm3": 7.3,
  "sg": "P2_1/m (11)",
  "formation_enthalpy_0k_ev_per_atom": 0.039,
  "cell": [[8.228, 0.000, 0.000], [0.000, 5.302, 0.000], [-3.426, 0.000, 10.036]],
  "species": ["Ac", "Ac", "La", "La", "La", "La", "La", "La", "Tb", "Tb", "Ho", "Ho"],
  "frac_coords": [[0.173, 0.250, 0.294], [0.827, 0.750, 0.706], [0.173, 0.750, 0.041], [0.173, 0.750, 0.546], [0.175, 0.250, 0.793], [0.825, 0.750, 0.207], [0.827, 0.250, 0.454], [0.827, 0.250, 0.959], [0.498, 0.750, 0.876], [0.502, 0.250, 0.124], [0.498, 0.250, 0.627], [0.502, 0.750, 0.373]]
}

[6]
{
  "formula": "Ac2LaHoTe5",
  "functional": "GGA-PBE",
  "state": "optimized geometry",
  "density_g_cm3": 6.5,
  "sg": "P4/mmm (123)",
  "formation_energy_uncorrected_ev_per_atom": -1.087,
  "cell": [[5.480, 0.000, 0.000], [0.000, 5.480, 0.000], [0.000, 0.000, 11.913]],
  "species": ["Ac", "Ac", "La", "Ho", "Te", "Te", "Te", "Te", "Te"],
  "frac_coords": [[0.000, 0.000, 0.198], [0.000, 0.000, 0.802], [0.500, 0.500, 0.500], [0.500, 0.500, 0.000], [0.000, 0.000, 0.500], [0.000, 0.500, 0.000], [0.500, 0.000, 0.000], [0.500, 0.500, 0.249], [0.500, 0.500, 0.751]]
}

[7]
{
  "formula": "Ac2La3HoTe6",
  "functional": "GGA-PBE",
  "state": "optimized geometry",
  "density_g_cm3": 7.3,
  "sg": "C2/m (12)",
  "formation_energy_uncorrected_ev_per_atom": -1.492,
  "cell": [[3.976, -6.909, 0.000], [3.976, 6.909, 0.000], [-2.674, 0.000, 7.485]],
  "species": ["Ac", "Ac", "La", "La", "La", "Ho", "Te", "Te", "Te", "Te", "Te", "Te"],
  "frac_coords": [[0.165, 0.835, 0.000], [0.835, 0.165, 0.000], [0.000, 0.000, 0.500], [0.324, 0.676, 0.500], [0.676, 0.324, 0.500], [0.500, 0.500, 0.000], [0.103, 0.419, 0.754], [0.271, 0.271, 0.257], [0.419, 0.103, 0.754], [0.581, 0.897, 0.246], [0.729, 0.729, 0.743], [0.897, 0.581, 0.246]]
}

[8]
{
  "formula": "Ac3La3HoTe8",
  "functional": "GGA-PBE",
  "state": "optimized geometry",
  "density_g_cm3": 6.7,
  "sg": "R-3m (166)",
  "formation_energy_uncorrected_ev_per_atom": -1.532,
  "cell": [[4.610, 2.662, 7.636], [-4.610, 2.662, 7.636], [0.000, -5.323, 7.636]],
  "species": ["Ac", "Ac", "Ac", "La", "La", "La", "Ho", "Te", "Te", "Te", "Te", "Te", "Te", "Te", "Te"],
  "frac_coords": [[0.000, 0.500, 0.500], [0.500, 0.000, 0.500], [0.500, 0.500, 0.000], [0.000, 0.000, 0.500], [0.000, 0.500, 0.000], [0.500, 0.000, 0.000], [0.500, 0.500, 0.500], [0.247, 0.247, 0.247], [0.253, 0.741, 0.741], [0.259, 0.259, 0.747], [0.259, 0.747, 0.259], [0.741, 0.253, 0.741], [0.741, 0.741, 0.253], [0.747, 0.259, 0.259], [0.753, 0.753, 0.753]]
}